Entry 1:
Ti4TcIr3 (GGA-PBE, relaxed); VASP energy = -9.38 eV per atom; crystal system = tetragonal; spin magnetization = 0.00 μB per atom
1.0
4.4337 0.0000 0.0000
0.0000 4.4337 0.0000
0.0000 0.0000 12.2087
Ti Tc Ir
8 2 6
direct
0.0000 0.5000 0.1247 Ti
0.0000 0.5000 0.3753 Ti
0.0000 0.5000 0.6247 Ti
0.0000 0.5000 0.8753 Ti
0.5000 0.0000 0.1247 Ti
0.5000 0.0000 0.3753 Ti
0.5000 0.0000 0.6247 Ti
0.5000 0.0000 0.8753 Ti
0.0000 0.0000 0.0000 Tc
0.5000 0.5000 0.5000 Tc
0.0000 0.0000 0.2522 Ir
0.0000 0.0000 0.5000 Ir
0.0000 0.0000 0.7478 Ir
0.5000 0.5000 0.0000 Ir
0.5000 0.5000 0.2478 Ir
0.5000 0.5000 0.7522 Ir

***

Entry 2:
TiTcIr2 (GGA-PBE, relaxed); VASP energy = -9.51 eV per atom; ΔE to the lowest computed polymorph = 0.00 eV/f.u.; crystal system = tetragonal; spin magnetization = 0.00 μB per atom
1.0
3.9088 0.0000 0.0000
0.0000 3.9088 0.0000
0.0000 0.0000 3.8435
Ti Tc Ir
1 1 2
direct
0.0000 0.0000 0.0000 Ti
0.5000 0.5000 0.0000 Tc
0.0000 0.5000 0.5000 Ir
0.5000 0.0000 0.5000 Ir

***

Entry 3:
Ti2TcIr (GGA-PBE, relaxed); VASP energy = -9.59 eV per atom; ΔE to the lowest computed polymorph = 0.00 eV/f.u.; crystal system = cubic; spin magnetization = 0.00 μB per atom
1.0
6.1987 0.0000 0.0000
0.0000 6.1987 0.0000
0.0000 0.0000 6.1987
Ti Tc Ir
8 4 4
direct
0.2500 0.2500 0.2500 Ti
0.2500 0.2500 0.7500 Ti
0.2500 0.7500 0.2500 Ti
0.2500 0.7500 0.7500 Ti
0.7500 0.2500 0.2500 Ti
0.7500 0.2500 0.7500 Ti
0.7500 0.7500 0.2500 Ti
0.7500 0.7500 0.7500 Ti
0.0000 0.0000 0.0000 Tc
0.0000 0.5000 0.5000 Tc
0.5000 0.0000 0.5000 Tc
0.5000 0.5000 0.0000 Tc
0.0000 0.0000 0.5000 Ir
0.0000 0.5000 0.0000 Ir
0.5000 0.0000 0.0000 Ir
0.5000 0.5000 0.5000 Ir